# TaMn3Br2O6

A relaxed structure of TaMn3Br2O6 (PBE+U, the Alexandria database).

Unit cell a=5.8108 b=6.1825 c=6.0314 alpha=120.83 beta=74.65 gamma=90.00
Each line ends with the local moment (μB).
Element x y z (fractional)
1 Ta 0.5000 0.0000 0.0000  0.07
2 Mn 0.0000 0.5000 0.0000  4.64
3 Mn 0.5000 0.5000 0.5000  3.73
4 Mn 0.5000 0.0000 0.5000  3.73
5 Br 0.1541 0.7208 0.4416  -0.09
6 Br 0.8459 0.2792 0.5584  -0.09
7 O 0.6888 0.2947 0.1167  -0.04
8 O 0.3112 0.7053 0.8833  -0.04
9 O 0.6630 0.7948 0.5895  -0.08
10 O 0.3370 0.2052 0.4105  -0.08
11 O 0.3112 0.1780 0.8833  -0.04
12 O 0.6888 0.8220 0.1167  -0.04

## Properties
Calculated total energy (eV/atom): -7.147
Calculated volume (A^3/atom): 14.750
Theoretical density (g cm⁻³): 5.6